First-principles (PBE) data for a relaxed structure of BC, as listed in Alexandria.

Geometry as POSCAR:
```
BC
1.0
7.0668 -1.3445 0.0000
7.0668 1.3445 0.0000
-1.2661 0.0000 4.3385
B C
6 6
Direct
0.0000 0.0000 0.0000
0.1835 0.1835 0.5363
0.3571 0.3571 0.3455
0.5012 0.5012 0.6209
0.5484 0.5484 0.2849
0.8661 0.8661 0.8704
0.0587 0.0587 0.7519
0.1694 0.1694 0.8710
0.3873 0.3873 0.7182
0.6678 0.6678 0.3531
0.7061 0.7061 0.0612
0.8231 0.8231 0.1636
```

Summary:
As for the density of states at the Fermi level: 1.35 states/eV per cell. Its energy relative to the elements is 0.385 eV per atom. The calculation puts the energy above the most stable polymorph in this dataset at 234 meV/atom.

First-principles (PBE) data for a relaxed structure of B3C2, as listed in Alexandria.

Geometry as POSCAR:
```
B3C2
1.0
1.3332 0.7697 13.0321
-1.3332 0.7697 13.0321
0.0000 -1.5395 13.0321
B C
6 4
Direct
0.0000 0.0000 0.0000
0.0436 0.0436 0.0436
0.1626 0.1626 0.1626
0.5950 0.5950 0.5950
0.6407 0.6407 0.6407
0.7830 0.7830 0.7830
0.2600 0.2600 0.2600
0.3957 0.3957 0.3957
0.4316 0.4316 0.4316
0.8251 0.8251 0.8251
```

Summary:
As for the density of states at the Fermi level: 2.57 states/eV per cell. Its energy relative to the elements is 0.458 eV per atom. The calculation puts the energy above the most stable polymorph in this dataset at 247 meV/atom.

First-principles (PBE) data for a relaxed structure of BC, as listed in Alexandria.

Geometry as POSCAR:
```
BC
1.0
4.3433 -1.2633 0.0000
4.3433 1.2633 0.0000
-2.3555 0.0000 6.9946
B C
6 6
Direct
0.1040 0.1040 0.0696
0.3143 0.3143 0.0726
0.3914 0.3914 0.7449
0.6086 0.6086 0.2551
0.6857 0.6857 0.9274
0.8960 0.8960 0.9304
0.0753 0.0753 0.5965
0.2384 0.2384 0.5534
0.4368 0.4368 0.2878
0.5632 0.5632 0.7122
0.7616 0.7616 0.4466
0.9247 0.9247 0.4035
```

Summary:
As for the density of states at the Fermi level: 0.92 states/eV per cell. Its energy relative to the elements is 0.354 eV per atom. The calculation puts the energy above the most stable polymorph in this dataset at 203 meV/atom.

First-principles (PBE) data for a relaxed structure of BC, as listed in Alexandria.

Geometry as POSCAR:
```
BC
1.0
6.0884 -1.3243 0.0000
6.0884 1.3243 0.0000
-1.4825 0.0000 5.2197
B C
6 6
Direct
0.0000 0.0000 0.0000
0.0288 0.0288 0.3864
0.2544 0.2544 0.8369
0.5787 0.5787 0.9291
0.6934 0.6934 0.3372
0.8953 0.8953 0.7116
0.2610 0.2610 0.3272
0.3348 0.3348 0.6200
0.3372 0.3372 0.1421
0.5973 0.5973 0.4894
0.6658 0.6658 0.7752
0.9086 0.9086 0.1728
```

Summary:
As for the density of states at the Fermi level: 2.49 states/eV per cell. Its energy relative to the elements is 0.375 eV per atom. The calculation puts the energy above the most stable polymorph in this dataset at 224 meV/atom.

First-principles (PBE) data for a relaxed structure of B3C2, as listed in Alexandria.

Geometry as POSCAR:
```
B3C2
1.0
1.3081 0.7553 14.9248
-1.3081 0.7553 14.9248
0.0000 -1.5105 14.9248
B C
6 4
Direct
0.0187 0.0187 0.0187
0.2534 0.2534 0.2534
0.3751 0.3751 0.3751
0.6249 0.6249 0.6249
0.7466 0.7466 0.7466
0.9813 0.9813 0.9813
0.1667 0.1667 0.1667
0.4104 0.4104 0.4104
0.5896 0.5896 0.5896
0.8333 0.8333 0.8333
```

Summary:
As for the density of states at the Fermi level: 2.85 states/eV per cell. Its energy relative to the elements is 0.341 eV per atom. The calculation puts the energy above the most stable polymorph in this dataset at 130 meV/atom.

First-principles (PBE) data for a relaxed structure of BC, as listed in Alexandria.

Geometry as POSCAR:
```
BC
1.0
2.6654 0.0000 0.0000
-1.3327 2.3083 0.0000
0.0000 0.0000 13.1439
B C
6 6
Direct
0.0000 0.0000 0.0000
0.0000 0.0000 0.1358
0.0000 0.0000 0.4818
0.3333 0.6667 0.2825
0.3333 0.6667 0.7747
0.6667 0.3333 0.9280
0.0000 0.0000 0.6104
0.3333 0.6667 0.1440
0.3333 0.6667 0.6394
0.6667 0.3333 0.3244
0.6667 0.3333 0.4350
0.6667 0.3333 0.8118
```

Summary:
As for the density of states at the Fermi level: 2.28 states/eV per cell. Its energy relative to the elements is 0.427 eV per atom. The calculation puts the energy above the most stable polymorph in this dataset at 276 meV/atom.

First-principles (PBE) data for a relaxed structure of B3C, as listed in Alexandria.

Geometry as POSCAR:
```
B3C
1.0
5.0167 0.0000 0.0000
0.0000 2.7733 0.0000
-1.0266 0.0000 5.9950
B C
9 3
Direct
0.0000 0.0000 0.0000
0.0082 0.0000 0.6131
0.0242 0.5000 0.4213
0.2367 0.5000 0.6479
0.3878 0.5000 0.9265
0.4176 0.5000 0.4174
0.7207 0.0000 0.7518
0.8126 0.0000 0.3194
0.9380 0.5000 0.1492
0.3406 0.0000 0.0507
0.4851 0.0000 0.2967
0.5615 0.5000 0.7087
```

Summary:
As for the density of states at the Fermi level: 1.13 states/eV per cell. Its energy relative to the elements is 0.325 eV per atom. The calculation puts the energy above the most stable polymorph in this dataset at 84 meV/atom.

First-principles (PBE) data for a relaxed structure of B3C, as listed in Alexandria.

Geometry as POSCAR:
```
B3C
1.0
3.4569 0.0000 0.0000
-0.5568 4.5293 0.0000
-0.2395 -1.8698 5.2040
B C
9 3
Direct
0.0000 0.0000 0.0000
0.0043 0.5007 0.5225
0.0451 0.0669 0.3434
0.4327 0.0624 0.5639
0.4450 0.5117 0.0155
0.4814 0.9361 0.1499
0.6627 0.7105 0.8147
0.6680 0.7021 0.3446
0.7974 0.3251 0.1996
0.0402 0.3076 0.9408
0.3970 0.7370 0.5907
0.7528 0.3533 0.7452
```

Summary:
As for the density of states at the Fermi level: 1.71 states/eV per cell. Its energy relative to the elements is 0.371 eV per atom. The calculation puts the energy above the most stable polymorph in this dataset at 130 meV/atom.